Compound: TiCr2Ru2
Source: the Alexandria database
Functional: PBE
Structure: relaxed

Output
The calculation puts the raw total energy at -9.084 eV/atom. The calculated formation energy comes out at 0.0546 eV per atom.

```
10
Lattice="7.104 0.000 0.000 0.000 7.104 0.000 0.000 0.000 2.760" Properties=species:S:1:pos:R:3 pbc="T T T"
Ti 0.000 0.000 0.000
Ti 3.552 3.552 0.000
Cr 1.042 2.510 0.000
Cr 2.510 6.062 0.000
Cr 4.594 1.042 0.000
Cr 6.062 4.594 0.000
Ru 1.086 4.638 1.380
Ru 2.466 1.086 1.380
Ru 4.638 6.019 1.380
Ru 6.019 2.466 1.380
```

Compound: NbPbI2O
Source: the Alexandria database
Functional: PBE
Structure: relaxed

Output
The calculation puts the raw total energy at -4.949 eV/atom. The uncorrected formation energy is -0.581 eV/atom.

```
5
Lattice="5.880 0.000 0.000 0.000 5.880 0.000 0.000 0.000 3.950" Properties=species:S:1:pos:R:3 pbc="T T T"
Nb 0.000 0.000 0.000
Pb 2.940 2.940 1.975
I 0.000 2.940 0.000
I 2.940 0.000 0.000
O 0.000 0.000 1.975
```

Compound: Pm2Tl2In
Source: the Alexandria database
Functional: PBE
Structure: relaxed

Output
The calculation puts the raw total energy at -3.735 eV/atom. The calculated formation energy comes out at -0.3408 eV per atom.

```
5
Lattice="2.445 -8.025 0.000 2.445 8.025 0.000 0.000 0.000 3.599" Properties=species:S:1:pos:R:3 pbc="T T T"
Pm 2.445 6.220 0.000
Pm 2.445 -6.220 0.000
Tl 2.445 3.126 1.799
Tl 2.445 -3.126 1.799
In 2.445 0.000 1.799
```

Calculated distance to the lowest polymorph of the same formula in order - 0.000; 0.000; 0.012 eV/atom